Here is a relaxed AcPm12Pr7 crystal from the Alexandria database. Energies are from GGA-PBE.

Total magnetization (μB per formula unit): 0.0
Crystal system: cubic
Calculated total energy (eV per cell): -83.4
ΔH_f (0 K) (meV/atom): 558

Lattice parameters (Å, degrees): 10.1181 10.1181 10.1181 109.47 109.47 109.47
Positions (direct):
1 Pm 0.9999 0.7461 0.2538
2 Pm 0.5077 0.2539 0.2538
3 Pm 0.0001 0.2539 0.7462
4 Pr 0.0000 0.5000 0.0000
5 Pm 0.7462 0.4923 0.7461
6 Pm 0.2539 0.2538 0.5077
7 Pr 0.5000 0.0000 0.5000
8 Pm 0.4923 0.7461 0.7462
9 Ac 0.0000 0.0000 0.0000
10 Pm 0.7461 0.7462 0.4923
11 Pm 0.7462 0.0001 0.2539
12 Pr 0.5000 0.5000 0.5000
13 Pm 0.2538 0.9999 0.7461
14 Pr 0.0000 0.5000 0.5000
15 Pr 0.5000 0.0000 0.0000
16 Pm 0.7461 0.2538 0.9999
17 Pr 0.0000 0.0000 0.5000
18 Pr 0.5000 0.5000 0.0000
19 Pm 0.2538 0.5077 0.2539
20 Pm 0.2539 0.7462 0.0001